# Tb6YSc3

An optimized crystal structure of Tb6YSc3 (PBE, the Alexandria database). Values from VASP.

```
&SYSTEM
  ibrav = 0, nat = 20, ntyp = 3
/
ATOMIC_SPECIES
Tb 158.93 Tb.upf
Y 88.91 Y.upf
Sc 44.96 Sc.upf
CELL_PARAMETERS angstrom
-2.4432 -3.3355 -4.6644
-1.9908 -8.5092 7.1278
-6.4192 8.7973 -2.9286
ATOMIC_POSITIONS angstrom
Tb -5.6644 -1.0659 3.0359
Tb -7.3895 -0.7658 -0.4398
Tb -7.4512 2.8975 -0.8722
Tb -6.7358 -6.3404 1.1944
Tb -2.7512 -9.2107 5.6531
Tb -7.0196 0.8910 -3.5887
Tb -4.0573 -4.2439 2.6964
Tb -8.2735 5.9292 -6.4457
Tb -4.4817 2.7957 -2.3549
Tb -3.7663 -6.4421 -0.2883
Tb -2.6489 -1.1692 1.5302
Tb -4.3740 -0.8691 -1.9455
Y -5.7527 6.0450 -1.4050
Y -3.9349 -7.5011 3.1651
Sc -7.6269 -3.5681 2.4919
Sc -9.9663 -0.8677 -2.3785
Sc -4.8258 1.2321 0.7816
Sc -5.3133 -3.3046 0.1165
Sc -4.3834 -1.0590 -5.1661
Sc -2.0440 -3.7594 -0.2957
```

Calculated values
DOS at the Fermi energy (states/eV per atom): 1.516
E_tot (eV per atom): -5.193
E_form (eV per atom): 0.131
Total magnetic moment (μB/cell): 0.00